(1)
Ir2PtBr | GGA-PBE | optimized geometry

Summary:
- volume (Å³/f.u.) = 70.1
- energy above the lowest structure with this stoichiometry (meV per atom) = 472
- D(E_F) (states/eV per atom) = 1.25
- calculated total energy (eV/atom) = -5.38

POSCAR file:
```
Ir2PtBr
1.0
-3.5793 1.4331 0.2351
-0.8679 -1.6098 -3.4023
-5.0577 -7.8909 2.8309
Ir Pt Br
4 2 2
direct
0.6549 0.1250 0.2500
0.0951 0.6250 0.2500
0.3750 0.3451 0.7500
0.8750 0.9049 0.7500
0.0000 0.0000 0.0000
0.7500 0.2500 0.5000
0.5000 0.5000 0.0000
0.2500 0.7500 0.5000
```

=====

(2)
Pa4Si3Rh | GGA-PBE | optimized geometry

Summary:
- volume (Å³/f.u.) = 170.2
- D(E_F) (states/eV per atom) = 1.58
- calculated total energy (eV/atom) = -8.25

POSCAR file:
```
Pa4Si3Rh
1.0
-0.3481 1.4692 3.7467
-1.4839 -3.4784 1.2261
9.7917 -3.3881 2.2384
Pa Si Rh
4 3 1
direct
0.0000 0.5000 0.8522
0.5000 0.5000 0.3590
0.5000 0.0000 0.6424
0.0000 0.0000 0.1469
0.0000 0.5000 0.5759
0.5000 0.0000 0.9238
0.0000 0.0000 0.4209
0.5000 0.5000 0.0789
```

=====

(3)
K4GePt5 | GGA-PBE | optimized geometry

Summary:
- formation energy from the elements (eV per atom) = 0.0421
- volume (Å³/f.u.) = 317.7
- D(E_F) (states/eV per atom) = 0.93
- calculated total energy (eV/atom) = -3.88

POSCAR file:
```
K4GePt5
1.0
5.4912 0.0000 2.4746
2.7456 7.2632 1.2373
-0.2386 0.0000 7.8591
Pt K Ge
5 4 1
direct
0.7783 0.2252 0.1332
0.0035 0.1332 0.7748
0.6091 0.0000 0.0000
0.9115 0.8668 0.2252
0.1367 0.7748 0.8668
0.1614 0.4022 0.1882
0.5635 0.1882 0.5978
0.3496 0.8118 0.4022
0.7518 0.5978 0.8118
0.2244 0.0000 0.0000
```

=====

(4)
Y3ThIn4 | GGA-PBE | optimized geometry

Summary:
- formation energy from the elements (eV per atom) = -0.4194
- volume (Å³/f.u.) = 218.3
- D(E_F) (states/eV per atom) = 0.59
- calculated total energy (eV/atom) = -5.14

POSCAR file:
```
Y3ThIn4
1.0
5.5738 0.0000 0.0000
0.0000 7.2202 0.0000
0.0000 0.0000 10.8505
Y In Th
6 8 2
direct
0.5828 0.5000 0.7500
0.0000 0.0000 0.0000
0.5870 0.0000 0.7500
0.0000 0.0000 0.5000
0.4172 0.5000 0.2500
0.4130 0.0000 0.2500
0.5000 0.7607 0.0000
0.5000 0.2393 0.5000
0.9061 0.7593 0.2500
0.0939 0.2407 0.7500
0.9061 0.2407 0.2500
0.0939 0.7593 0.7500
0.5000 0.7607 0.5000
0.5000 0.2393 0.0000
0.0000 0.5000 0.5000
0.0000 0.5000 0.0000
```